Density functional theory data (PBE+U) for a relaxed U4CrO10 crystal.

Computed properties:
**Total magnetic moment**: 10.00 μB per formula unit
**Total energy**: -0.361 hartree per atom
**Space group**: I4/m

Lattice parameters (Å, degrees): 5.3561 6.5417 6.5417 80.35 65.83 65.83
Closest atoms and distances in Å follow each position.
Fractional coordinates of all 15 atoms:
U 0.7971 0.6001 0.8056  8 O 2.28-2.34
U 0.2029 0.3999 0.1944  8 O 2.28-2.34
U 0.6027 0.1944 0.6001  8 O 2.28-2.34
U 0.3973 0.8056 0.3999  8 O 2.28-2.34
O 0.8454 0.6948 0.1042  3 U 2.28-2.30, 1 Cr 2.36
O 0.3555 0.6948 0.1042  3 U 2.28-2.30, 1 Cr 2.36
O 0.4598 0.8958 0.6948  3 U 2.28-2.30, 1 Cr 2.36
O 0.7500 0.5000 0.5000  4 U 2.34
O 0.1546 0.3052 0.8958  3 U 2.28-2.30, 1 Cr 2.36
O 0.5402 0.1042 0.3052  3 U 2.28-2.30, 1 Cr 2.36
O 0.2500 0.5000 0.5000  4 U 2.34
O 0.0504 0.1042 0.3052  3 U 2.28-2.30, 1 Cr 2.36
O 0.9496 0.8958 0.6948  3 U 2.28-2.30, 1 Cr 2.36
O 0.6445 0.3052 0.8958  3 U 2.28-2.30, 1 Cr 2.36
Cr 0.0000 0.0000 0.0000  8 O 2.36